Computed, not measured: an optimized crystal structure of SrAlSbN2 at the PBE level of DFT.

The size of the total moment comes out at 0.00 μB/f.u. The calculation puts the formation energy without anion corrections at 1.761 eV per atom. Its density of states at the Fermi level is 1.150 states/eV per atom.

It has space group P4/mmm (No. 123), with a = 4.453 Å, b = 4.453 Å, c = 6.099 Å, α = 90.00°, β = 90.00° and γ = 90.00°. The distinct sites, in fractional coordinates, are Sr at (0.000, 0.000, 0.000), Al at (0.000, 0.000, 0.500), Sb at (0.500, 0.500, 0.500) and N at (0.000, 0.500, 0.000).


Computed, not measured: an optimized crystal structure of ScAlN3 at the PBE level of DFT.

The size of the total moment comes out at 0.00 μB/f.u. The calculation puts the formation energy without anion corrections at -0.058 eV per atom. Its density of states at the Fermi level is 0.735 states/eV per atom.

It has space group Pm-3m (No. 221), with a = 3.710 Å, b = 3.710 Å, c = 3.710 Å, α = 90.00°, β = 90.00° and γ = 90.00°. The distinct sites, in fractional coordinates, are Sc at (0.000, 0.000, 0.000), Al at (0.500, 0.500, 0.500) and N at (0.000, 0.500, 0.500).


Computed, not measured: an optimized crystal structure of ScAl3N at the PBE level of DFT.

The relative energy among the computed polymorphs comes out at 0 meV/atom. The size of the total moment comes out at 1.53 μB/f.u. The calculation puts the formation energy without anion corrections at -0.009 eV per atom. Its density of states at the Fermi level is 0.605 states/eV per atom.

It has space group Pm-3m (No. 221), with a = 4.223 Å, b = 4.223 Å, c = 4.223 Å, α = 90.00°, β = 90.00° and γ = 90.00°. The distinct sites, in fractional coordinates, are Sc at (0.000, 0.000, 0.000), Al at (0.000, 0.500, 0.500) and N at (0.500, 0.500, 0.500).


Q: What is the formation energy without anion corrections in the first record?
A: 1.761 eV per atom